No. 1
Material: Pr2Si3Pt4Rh
Method: DFT, GGA-PBE
State: relaxed Values from VASP.

Values from the calculation:
- uncorrected energy (eV per atom) = -6.68

Cell and atoms, written as Quantum ESPRESSO input:
```
&SYSTEM
  ibrav = 0, nat = 10, ntyp = 4
/
ATOMIC_SPECIES
Pr 140.91 Pr.upf
Si 28.09 Si.upf
Pt 195.08 Pt.upf
Rh 102.91 Rh.upf
CELL_PARAMETERS angstrom
-1.0497 4.1063 0.0243
-2.9376 -0.7334 -2.9659
-6.9897 -1.8304 7.3757
ATOMIC_POSITIONS crystal
Pr 0.5000 0.0000 0.2558
Pr 0.0000 0.5000 0.7442
Si 0.0000 0.0000 0.5000
Si 0.5000 0.0000 0.8744
Si 0.0000 0.5000 0.1256
Pt 0.5000 0.5000 0.0000
Pt 0.0000 0.0000 0.0000
Pt 0.5000 0.0000 0.6462
Pt 0.0000 0.5000 0.3538
Rh 0.5000 0.5000 0.5000
```

=====

No. 2
Material: Pr2Si4PtRh3
Method: DFT, GGA-PBE
State: relaxed Values from VASP.

Values from the calculation:
- uncorrected energy (eV per atom) = -6.97

Cell and atoms, written as Quantum ESPRESSO input:
```
&SYSTEM
  ibrav = 0, nat = 10, ntyp = 4
/
ATOMIC_SPECIES
Pr 140.91 Pr.upf
Si 28.09 Si.upf
Pt 195.08 Pt.upf
Rh 102.91 Rh.upf
CELL_PARAMETERS angstrom
-3.1126 -2.4298 -1.3742
0.0107 -2.0686 3.6334
-6.7164 6.4999 3.7205
ATOMIC_POSITIONS crystal
Pr 0.5000 0.0000 0.2406
Pr 0.0000 0.5000 0.7594
Si 0.5000 0.5000 0.0000
Si 0.0000 0.0000 0.0000
Si 0.5000 0.0000 0.6355
Si 0.0000 0.5000 0.3645
Pt 0.5000 0.5000 0.5000
Rh 0.0000 0.0000 0.5000
Rh 0.5000 0.0000 0.8758
Rh 0.0000 0.5000 0.1242
```

=====

No. 3
Material: PrSi2PtRh2
Method: DFT, GGA-PBE
State: relaxed Values from VASP.

Values from the calculation:
- uncorrected energy (eV per atom) = -6.45

Cell and atoms, written as Quantum ESPRESSO input:
```
&SYSTEM
  ibrav = 0, nat = 6, ntyp = 4
/
ATOMIC_SPECIES
Pr 140.91 Pr.upf
Si 28.09 Si.upf
Pt 195.08 Pt.upf
Rh 102.91 Rh.upf
CELL_PARAMETERS angstrom
4.5316 0.0000 0.0000
0.0000 4.5316 0.0000
0.0000 0.0000 5.6715
ATOMIC_POSITIONS crystal
Pr 0.0000 0.0000 0.5000
Si 0.5000 0.0000 0.0000
Si 0.0000 0.5000 0.0000
Pt 0.0000 0.0000 0.0000
Rh 0.5000 0.5000 0.7536
Rh 0.5000 0.5000 0.2464
```

=====

No. 4
Material: Pr3Si6Pt2Rh
Method: DFT, GGA-PBE
State: relaxed Values from VASP.

Values from the calculation:
- uncorrected energy (eV per atom) = -6.05

Cell and atoms, written as Quantum ESPRESSO input:
```
&SYSTEM
  ibrav = 0, nat = 12, ntyp = 4
/
ATOMIC_SPECIES
Pr 140.91 Pr.upf
Si 28.09 Si.upf
Pt 195.08 Pt.upf
Rh 102.91 Rh.upf
CELL_PARAMETERS angstrom
-4.1163 -3.2752 -2.6847
5.5342 0.0587 -2.0611
1.8141 -6.1296 4.6962
ATOMIC_POSITIONS crystal
Pr 0.3333 0.6667 0.6703
Pr 0.6667 0.3333 0.3297
Pr 0.0000 0.0000 0.0000
Si 0.6086 0.8043 0.3153
Si 0.1957 0.3914 0.3153
Si 0.1957 0.8043 0.3153
Si 0.8043 0.6086 0.6847
Si 0.3914 0.1957 0.6847
Si 0.8043 0.1957 0.6847
Pt 0.6667 0.3333 0.9408
Pt 0.3333 0.6667 0.0592
Rh 0.0000 0.0000 0.5000
```

=====

No. 5
Material: Pr2Si4Pt3Rh
Method: DFT, GGA-PBE
State: relaxed Values from VASP.

Values from the calculation:
- uncorrected energy (eV per atom) = -6.78

Cell and atoms, written as Quantum ESPRESSO input:
```
&SYSTEM
  ibrav = 0, nat = 10, ntyp = 4
/
ATOMIC_SPECIES
Pr 140.91 Pr.upf
Si 28.09 Si.upf
Pt 195.08 Pt.upf
Rh 102.91 Rh.upf
CELL_PARAMETERS angstrom
-2.4877 1.8227 2.9114
0.6217 -3.2964 2.5950
7.9471 4.5849 3.9201
ATOMIC_POSITIONS crystal
Pr 0.5000 0.0000 0.2448
Pr 0.0000 0.5000 0.7552
Si 0.5000 0.5000 0.0000
Si 0.0000 0.0000 0.0000
Si 0.5000 0.0000 0.6301
Si 0.0000 0.5000 0.3699
Pt 0.0000 0.0000 0.5000
Pt 0.5000 0.0000 0.8775
Pt 0.0000 0.5000 0.1225
Rh 0.5000 0.5000 0.5000
```

=====

No. 6
Material: PrSmPtRh
Method: DFT, GGA-PBE
State: relaxed Values from VASP.

Values from the calculation:
- offset from the most stable computed form (meV per atom) = 75
- formation enthalpy at 0 K (eV/atom) = -0.857

Cell and atoms, written as Quantum ESPRESSO input:
```
&SYSTEM
  ibrav = 0, nat = 4, ntyp = 4
/
ATOMIC_SPECIES
Pr 140.91 Pr.upf
Rh 102.91 Rh.upf
Sm 150.36 Sm.upf
Pt 195.08 Pt.upf
CELL_PARAMETERS angstrom
5.0479 0.0000 0.0000
2.5240 4.3716 0.0000
2.5240 1.4572 4.1216
ATOMIC_POSITIONS crystal
Pr 0.0000 0.0000 0.0000
Rh 0.2500 0.2500 0.2500
Sm 0.5000 0.5000 0.5000
Pt 0.7500 0.7500 0.7500
```

=====

No. 7
Material: PrSmPtRh
Method: DFT, GGA-PBE
State: relaxed Values from VASP.

Values from the calculation:
- offset from the most stable computed form (meV per atom) = 0
- formation enthalpy at 0 K (eV/atom) = -0.932

Cell and atoms, written as Quantum ESPRESSO input:
```
&SYSTEM
  ibrav = 0, nat = 4, ntyp = 4
/
ATOMIC_SPECIES
Pr 140.91 Pr.upf
Sm 150.36 Sm.upf
Pt 195.08 Pt.upf
Rh 102.91 Rh.upf
CELL_PARAMETERS angstrom
3.9111 0.0000 0.0000
0.0000 4.4490 0.0000
-1.9556 0.0000 5.4249
ATOMIC_POSITIONS crystal
Pr 0.1428 0.0000 0.2855
Sm 0.8632 0.5000 0.7264
Pt 0.5840 0.5000 0.1680
Rh 0.4100 0.0000 0.8201
```

=====

No. 8
Material: Pr2Sn3Pt4Rh
Method: DFT, GGA-PBE
State: relaxed Values from VASP.

Values from the calculation:
- formation enthalpy at 0 K (eV/atom) = -0.747

Cell and atoms, written as Quantum ESPRESSO input:
```
&SYSTEM
  ibrav = 0, nat = 10, ntyp = 4
/
ATOMIC_SPECIES
Pr 140.91 Pr.upf
Sn 118.71 Sn.upf
Pt 195.08 Pt.upf
Rh 102.91 Rh.upf
CELL_PARAMETERS angstrom
4.1903 0.0000 0.0000
0.0000 4.1903 0.0000
0.0000 0.0000 12.3171
ATOMIC_POSITIONS crystal
Pr 0.5000 0.0000 0.2731
Pr 0.0000 0.5000 0.7269
Sn 0.0000 0.0000 0.5000
Sn 0.5000 0.0000 0.8651
Sn 0.0000 0.5000 0.1349
Pt 0.5000 0.5000 0.0000
Pt 0.0000 0.0000 0.0000
Pt 0.5000 0.0000 0.6524
Pt 0.0000 0.5000 0.3476
Rh 0.5000 0.5000 0.5000
```

=====

No. 9
Material: Pr2Sn3PtRh4
Method: DFT, GGA-PBE
State: relaxed Values from VASP.

Values from the calculation:
- formation enthalpy at 0 K (eV/atom) = -0.668

Cell and atoms, written as Quantum ESPRESSO input:
```
&SYSTEM
  ibrav = 0, nat = 10, ntyp = 4
/
ATOMIC_SPECIES
Pr 140.91 Pr.upf
Sn 118.71 Sn.upf
Pt 195.08 Pt.upf
Rh 102.91 Rh.upf
CELL_PARAMETERS angstrom
4.3244 0.0000 0.0000
0.0000 4.3244 0.0000
0.0000 0.0000 11.3515
ATOMIC_POSITIONS crystal
Pr 0.5000 0.0000 0.2639
Pr 0.0000 0.5000 0.7361
Sn 0.0000 0.0000 0.5000
Sn 0.5000 0.0000 0.8706
Sn 0.0000 0.5000 0.1294
Pt 0.5000 0.5000 0.5000
Rh 0.5000 0.5000 0.0000
Rh 0.0000 0.0000 0.0000
Rh 0.5000 0.0000 0.6427
Rh 0.0000 0.5000 0.3573
```

=====

No. 10
Material: SrPrPtRh
Method: DFT, GGA-PBE
State: relaxed Values from VASP.

Values from the calculation:
- formation enthalpy at 0 K (eV/atom) = -0.602

Cell and atoms, written as Quantum ESPRESSO input:
```
&SYSTEM
  ibrav = 0, nat = 4, ntyp = 4
/
ATOMIC_SPECIES
Pr 140.91 Pr.upf
Sr 87.62 Sr.upf
Rh 102.91 Rh.upf
Pt 195.08 Pt.upf
CELL_PARAMETERS angstrom
5.1169 0.0000 0.0000
2.5584 4.4314 0.0000
2.5584 1.4771 4.1779
ATOMIC_POSITIONS crystal
Pr 0.0000 0.0000 0.0000
Sr 0.5000 0.5000 0.5000
Rh 0.2500 0.2500 0.2500
Pt 0.7500 0.7500 0.7500
```

=====

No. 11
Material: PrThPtRh
Method: DFT, GGA-PBE
State: relaxed Values from VASP.

Values from the calculation:
- offset from the most stable computed form (meV per atom) = 189
- formation enthalpy at 0 K (eV/atom) = -0.827

Cell and atoms, written as Quantum ESPRESSO input:
```
&SYSTEM
  ibrav = 0, nat = 4, ntyp = 4
/
ATOMIC_SPECIES
Pr 140.91 Pr.upf
Rh 102.91 Rh.upf
Pt 195.08 Pt.upf
Th 232.04 Th.upf
CELL_PARAMETERS angstrom
-1.0539 -3.3861 3.6476
1.5307 -4.8267 -0.4907
3.7296 -1.7988 2.9556
ATOMIC_POSITIONS crystal
Pr 0.5000 0.5000 0.5000
Rh 0.2500 0.2500 0.2500
Pt 0.7500 0.7500 0.7500
Th 0.0000 0.0000 0.0000
```

=====

No. 12
Material: PrThPtRh
Method: DFT, GGA-PBE
State: relaxed Values from VASP.

Values from the calculation:
- offset from the most stable computed form (meV per atom) = 0
- formation enthalpy at 0 K (eV/atom) = -1.016

Cell and atoms, written as Quantum ESPRESSO input:
```
&SYSTEM
  ibrav = 0, nat = 4, ntyp = 4
/
ATOMIC_SPECIES
Pr 140.91 Pr.upf
Th 232.04 Th.upf
Pt 195.08 Pt.upf
Rh 102.91 Rh.upf
CELL_PARAMETERS angstrom
3.9056 0.0000 0.0000
0.0000 4.3702 0.0000
-1.9528 0.0000 5.6311
ATOMIC_POSITIONS crystal
Pr 0.1414 0.0000 0.2828
Th 0.8682 0.5000 0.7365
Pt 0.5887 0.5000 0.1774
Rh 0.4017 0.0000 0.8033
```

=====

Density of states at the Fermi level for the records above, in order: 0.81; 0.60; 0.53; 0.55; 0.60; 0.68; 0.62; 0.54; 0.70; 0.79; 1.29; 0.76 states/eV per atom
Size of the total moment for the records above, in order: 0.00; 0.00; 0.00; 0.00; 0.00; 0.00; 0.00; 0.00; 0.00; 0.00; 0.00; 0.00 μB/cell
Theoretical density for the records above, in order: 11.18; 8.48; 8.53; 7.51; 10.01; 10.76; 10.37; 11.68; 9.74; 9.23; 11.97; 11.59 g cm⁻³